(1)
The following is a PBE calculation of an optimized crystal structure of AgAuF4, from Alexandria via LeMat-Bulk.

a = 6.995 Å, b = 10.535 Å, c = 3.360 Å
α = 90.00°, β = 118.53°, γ = 90.00°
Space group C2/m (No. 12)
Inequivalent atoms, fractional coordinates:
Ag (0.000, 0.000, 0.000) (multiplicity 2)
Au (0.000, 0.500, 0.000) (multiplicity 2)
F (0.240, 0.377, 0.259) (multiplicity 8)

Values from the calculation:
- DFT total energy: -3.286 eV per atom
- Calculated volume: 217.6 Å³/cell
- Energy above the most stable polymorph in this dataset: 97.3 meV/atom

(2)
The following is a PBE calculation of an optimized crystal structure of Ag3AuF, from Alexandria via LeMat-Bulk.

a = 5.046 Å, b = 5.675 Å, c = 6.687 Å
α = 111.19°, β = 94.06°, γ = 97.63°
Space group P-1 (No. 2)
Inequivalent atoms, fractional coordinates:
Ag (0.065, 0.239, 0.429) (multiplicity 2)
Ag (0.254, 0.136, 0.972) (multiplicity 2)
Ag (0.374, 0.641, 0.309) (multiplicity 2)
Au (0.179, 0.575, 0.871) (multiplicity 2)
F (0.471, 0.078, 0.321) (multiplicity 2)

Values from the calculation:
- DFT total energy: -3.061 eV per atom
- Calculated volume: 175.5 Å³/cell
- Energy above the most stable polymorph in this dataset: 0.0 meV/atom

(3)
The following is a PBE calculation of an optimized crystal structure of Ag2AuF6, from Alexandria via LeMat-Bulk.

a = 6.684 Å, b = 7.452 Å, c = 6.504 Å
α = 90.00°, β = 117.05°, γ = 90.00°
Space group P2_1/c (No. 14)
Inequivalent atoms, fractional coordinates:
Ag (0.122, 0.086, 0.325) (multiplicity 4)
Au (0.500, 0.000, 0.000) (multiplicity 2)
F (0.039, 0.158, 0.608) (multiplicity 4)
F (0.237, 0.514, 0.565) (multiplicity 4)
F (0.489, 0.235, 0.507) (multiplicity 4)

Values from the calculation:
- DFT total energy: -3.322 eV per atom
- Calculated volume: 288.5 Å³/cell
- Energy above the most stable polymorph in this dataset: 6.0 meV/atom

(4)
The following is a PBE calculation of an optimized crystal structure of AgAuF5, from Alexandria via LeMat-Bulk.

a = 5.493 Å, b = 5.506 Å, c = 7.718 Å
α = 92.78°, β = 92.79°, γ = 97.48°
Space group P-1 (No. 2)
Inequivalent atoms, fractional coordinates:
Ag (0.000, 0.000, 0.000) (multiplicity 1)
Ag (0.000, 0.000, 0.500) (multiplicity 1)
Au (0.389, 0.611, 0.250) (multiplicity 2)
F (0.085, 0.657, 0.116) (multiplicity 2)
F (0.096, 0.905, 0.750) (multiplicity 2)
F (0.305, 0.412, 0.613) (multiplicity 2)
F (0.343, 0.915, 0.384) (multiplicity 2)
F (0.412, 0.305, 0.113) (multiplicity 2)

Values from the calculation:
- DFT total energy: -3.266 eV per atom
- Calculated volume: 230.8 Å³/cell

(5)
The following is a PBE calculation of an optimized crystal structure of Ag2AuF, from Alexandria via LeMat-Bulk.

a = 2.952 Å, b = 2.952 Å, c = 7.349 Å
α = 90.00°, β = 90.00°, γ = 90.00°
Space group P4/mmm (No. 123)
Inequivalent atoms, fractional coordinates:
Ag (0.000, 0.000, 0.221) (multiplicity 2)
Au (0.500, 0.500, 0.500) (multiplicity 1)
F (0.500, 0.500, 0.000) (multiplicity 1)

Values from the calculation:
- DFT total energy: -3.232 eV per atom
- Calculated volume: 64.0 Å³/cell
- Energy above the most stable polymorph in this dataset: 14.6 meV/atom

(6)
The following is a PBE calculation of an optimized crystal structure of AgAuF4, from Alexandria via LeMat-Bulk.

a = 5.867 Å, b = 5.867 Å, c = 10.958 Å
α = 90.00°, β = 90.00°, γ = 90.00°
Space group I4/mcm (No. 140)
Inequivalent atoms, fractional coordinates:
Ag (0.000, 0.000, 0.250) (multiplicity 4)
Au (0.000, 0.500, 0.000) (multiplicity 4)
F (0.170, 0.330, 0.128) (multiplicity 16)

Values from the calculation:
- DFT total energy: -3.383 eV per atom
- Calculated volume: 377.2 Å³/cell
- Energy above the most stable polymorph in this dataset: 0.0 meV/atom

(7)
The following is a PBE calculation of an optimized crystal structure of AgAu3F, from Alexandria via LeMat-Bulk.

a = 5.129 Å, b = 5.129 Å, c = 5.129 Å
α = 90.00°, β = 90.00°, γ = 90.00°
Space group Pm-3m (No. 221)
Inequivalent atoms, fractional coordinates:
Ag (0.000, 0.000, 0.000) (multiplicity 1)
Au (0.000, 0.000, 0.500) (multiplicity 3)
F (0.500, 0.500, 0.500) (multiplicity 1)

Values from the calculation:
- DFT total energy: -2.188 eV per atom
- Calculated volume: 134.9 Å³/cell
- Energy above the most stable polymorph in this dataset: 370.5 meV/atom

(8)
The following is a PBE calculation of an optimized crystal structure of Ag5AuF8, from Alexandria via LeMat-Bulk.

a = 7.239 Å, b = 7.239 Å, c = 8.118 Å
α = 90.00°, β = 90.00°, γ = 90.00°
Space group I-4 (No. 82)
Inequivalent atoms, fractional coordinates:
Ag (0.000, 0.000, 0.000) (multiplicity 2)
Ag (0.121, 0.278, 0.608) (multiplicity 8)
Au (0.000, 0.500, 0.250) (multiplicity 2)
F (0.014, 0.224, 0.261) (multiplicity 8)
F (0.115, 0.316, 0.926) (multiplicity 8)

Values from the calculation:
- DFT total energy: -3.302 eV per atom
- Calculated volume: 425.4 Å³/cell

(9)
The following is a PBE calculation of an optimized crystal structure of Ag2AuF3, from Alexandria via LeMat-Bulk.

a = 13.501 Å, b = 3.425 Å, c = 9.321 Å
α = 90.00°, β = 111.22°, γ = 90.00°
Space group C2/m (No. 12)
Inequivalent atoms, fractional coordinates:
Ag (0.009, 0.000, 0.306) (multiplicity 4)
Ag (0.177, 0.500, 0.106) (multiplicity 4)
Au (0.105, 0.500, 0.565) (multiplicity 4)
F (0.034, 0.500, 0.157) (multiplicity 4)
F (0.167, 0.000, 0.913) (multiplicity 4)
F (0.227, 0.000, 0.310) (multiplicity 4)

Values from the calculation:
- DFT total energy: -3.284 eV per atom
- Calculated volume: 401.8 Å³/cell

(10)
The following is a PBE calculation of an optimized crystal structure of Ag2AuF, from Alexandria via LeMat-Bulk.

a = 3.0227 Å, b = 3.0227 Å, c = 24.5483 Å
α = 90.00°, β = 90.00°, γ = 120.00°
Space group R3m (No. 160, hexagonal axes)
Inequivalent atoms, fractional coordinates:
Ag (0.0000, 0.0000, 0.0000) (multiplicity 3)
Ag (0.0000, 0.0000, 0.1874) (multiplicity 3)
Au (0.0000, 0.0000, 0.7605) (multiplicity 3)
F (0.0000, 0.0000, 0.5931) (multiplicity 3)

Values from the calculation:
- DFT total energy: -3.246 eV per atom
- Calculated volume: 194.2 Å³/cell
- Energy above the most stable polymorph in this dataset: 0.0 meV/atom

(11)
The following is a PBE calculation of an optimized crystal structure of Ag2AuF, from Alexandria via LeMat-Bulk.

a = 6.916 Å, b = 6.916 Å, c = 5.924 Å
α = 90.00°, β = 90.00°, γ = 90.00°
Space group I-42d (No. 122)
Inequivalent atoms, fractional coordinates:
Ag (0.206, 0.250, 0.125) (multiplicity 8)
Au (0.000, 0.000, 0.500) (multiplicity 4)
F (0.000, 0.000, 0.000) (multiplicity 4)

Values from the calculation:
- DFT total energy: -3.042 eV per atom
- Calculated volume: 283.4 Å³/cell
- Energy above the most stable polymorph in this dataset: 204.8 meV/atom

(12)
The following is a PBE calculation of an optimized crystal structure of Ag5AuF5, from Alexandria via LeMat-Bulk.

a = 11.647 Å, b = 5.507 Å, c = 7.237 Å
α = 90.00°, β = 116.65°, γ = 90.00°
Space group C2/m (No. 12)
Inequivalent atoms, fractional coordinates:
Ag (0.000, 0.000, 0.000) (multiplicity 2)
Ag (0.154, 0.500, 0.807) (multiplicity 4)
Ag (0.242, 0.500, 0.336) (multiplicity 4)
Au (0.000, 0.500, 0.000) (multiplicity 2)
F (0.000, 0.500, 0.500) (multiplicity 2)
F (0.169, 0.000, 0.890) (multiplicity 4)
F (0.193, 0.000, 0.323) (multiplicity 4)

Values from the calculation:
- DFT total energy: -3.220 eV per atom
- Calculated volume: 414.9 Å³/cell

(13)
The following is a PBE calculation of an optimized crystal structure of Ag2AuF4, from Alexandria via LeMat-Bulk.

a = 6.310 Å, b = 6.310 Å, c = 13.240 Å
α = 90.00°, β = 90.00°, γ = 90.00°
Space group I4_1/a (No. 88, origin choice 2)
Inequivalent atoms, fractional coordinates:
Ag (0.000, 0.000, 0.000) (multiplicity 8)
Au (0.000, 0.250, 0.625) (multiplicity 4)
F (0.234, 0.497, 0.624) (multiplicity 16)

Values from the calculation:
- DFT total energy: -3.252 eV per atom
- Calculated volume: 527.1 Å³/cell
- Energy above the most stable polymorph in this dataset: 0.0 meV/atom

(14)
The following is a PBE calculation of an optimized crystal structure of AgAuF4, from Alexandria via LeMat-Bulk.

a = 7.154 Å, b = 9.647 Å, c = 11.337 Å
α = 90.00°, β = 90.00°, γ = 90.00°
Space group Fddd (No. 70, origin choice 2)
Inequivalent atoms, fractional coordinates:
Ag (0.125, 0.125, 0.125) (multiplicity 8)
Au (0.125, 0.125, 0.625) (multiplicity 8)
F (0.082, 0.363, 0.992) (multiplicity 32)

Values from the calculation:
- DFT total energy: -3.350 eV per atom
- Calculated volume: 782.5 Å³/cell
- Energy above the most stable polymorph in this dataset: 32.7 meV/atom

(15)
The following is a PBE calculation of an optimized crystal structure of Ag12Au3F5, from Alexandria via LeMat-Bulk.

a = 14.890 Å, b = 14.890 Å, c = 14.890 Å
α = 90.00°, β = 90.00°, γ = 90.00°
Space group Ia-3d (No. 230)
Inequivalent atoms, fractional coordinates:
Ag (0.019, 0.068, 0.652) (multiplicity 96)
Au (0.000, 0.250, 0.125) (multiplicity 24)
F (0.000, 0.000, 0.000) (multiplicity 16)
F (0.000, 0.250, 0.375) (multiplicity 24)

Values from the calculation:
- DFT total energy: -2.984 eV per atom
- Calculated volume: 3301.3 Å³/cell

(16)
The following is a PBE calculation of an optimized crystal structure of AgAuF2, from Alexandria via LeMat-Bulk.

a = 6.350 Å, b = 6.350 Å, c = 5.772 Å
α = 90.00°, β = 90.00°, γ = 90.00°
Space group I-42d (No. 122)
Inequivalent atoms, fractional coordinates:
Ag (0.000, 0.000, 0.000) (multiplicity 4)
Au (0.000, 0.000, 0.500) (multiplicity 4)
F (0.248, 0.250, 0.125) (multiplicity 8)

Values from the calculation:
- DFT total energy: -3.043 eV per atom
- Calculated volume: 232.7 Å³/cell
- Energy above the most stable polymorph in this dataset: 209.4 meV/atom

(17)
The following is a PBE calculation of an optimized crystal structure of AgAuF2, from Alexandria via LeMat-Bulk.

a = 6.109 Å, b = 6.109 Å, c = 6.109 Å
α = 90.00°, β = 90.00°, γ = 90.00°
Space group Fm-3m (No. 225)
Inequivalent atoms, fractional coordinates:
Ag (0.000, 0.000, 0.000) (multiplicity 4)
Au (0.000, 0.000, 0.500) (multiplicity 4)
F (0.250, 0.250, 0.250) (multiplicity 8)

Values from the calculation:
- DFT total energy: -3.050 eV per atom
- Calculated volume: 228.0 Å³/cell
- Energy above the most stable polymorph in this dataset: 202.5 meV/atom

(18)
The following is a PBE calculation of an optimized crystal structure of AgAuF3, from Alexandria via LeMat-Bulk.

a = 4.314 Å, b = 6.728 Å, c = 6.117 Å
α = 90.00°, β = 109.83°, γ = 90.00°
Space group P2_1 (No. 4)
Inequivalent atoms, fractional coordinates:
Ag (0.126, 0.000, 0.248) (multiplicity 2)
Au (0.376, 0.001, 0.755) (multiplicity 2)
F (0.109, 0.501, 0.213) (multiplicity 2)
F (0.371, 0.302, 0.745) (multiplicity 2)
F (0.373, 0.699, 0.750) (multiplicity 2)

Values from the calculation:
- DFT total energy: -3.276 eV per atom
- Calculated volume: 167.0 Å³/cell
- Energy above the most stable polymorph in this dataset: 55.3 meV/atom

(19)
The following is a PBE calculation of an optimized crystal structure of Ag6AuF12, from Alexandria via LeMat-Bulk.

a = 6.656 Å, b = 6.895 Å, c = 7.223 Å
α = 99.73°, β = 103.34°, γ = 97.85°
Space group P-1 (No. 2)
Inequivalent atoms, fractional coordinates:
Ag (0.103, 0.154, 0.337) (multiplicity 2)
Ag (0.195, 0.401, 0.866) (multiplicity 2)
Ag (0.359, 0.689, 0.404) (multiplicity 2)
Au (0.500, 0.000, 0.000) (multiplicity 1)
F (0.086, 0.803, 0.424) (multiplicity 2)
F (0.154, 0.461, 0.178) (multiplicity 2)
F (0.195, 0.016, 0.907) (multiplicity 2)
F (0.355, 0.403, 0.619) (multiplicity 2)
F (0.435, 0.713, 0.016) (multiplicity 2)
F (0.446, 0.111, 0.353) (multiplicity 2)

Values from the calculation:
- DFT total energy: -3.347 eV per atom
- Calculated volume: 312.5 Å³/cell